DFT (PBE) results for a relaxed structure of TiTlIrCl2.

- DOS(E_F): 0.70 states/eV per atom
- Space-group type: P4/mmm, No. 123
- Formation energy (no corrections): 20.6 kJ per mole of atoms
- Size of the total moment: 2.13 μB/cell
- DFT total energy: -4.350 eV/atom

abc: 4.9633 4.9235 4.9633
angles: 90.00 90.00 90.00
With the nearest neighbours (Å) after each atom.
Positions (direct):
Cl: 0.5000 0.0000 0.0000  2 Ir 2.48
Cl: 0.0000 0.0000 0.5000  2 Ir 2.48
Tl: 0.5000 0.5000 0.5000  8 Cl 3.50, 4 Ti 3.51
Ir: 0.0000 0.0000 0.0000  2 Ti 2.46, 4 Cl 2.48
Ti: 0.0000 0.5000 0.0000  2 Ir 2.46

DFT (PBE) results for a relaxed structure of TlIrCl2.

- Distance to the lowest polymorph of the same formula: 0.18 eV per formula unit
- DOS(E_F): 0.32 states/eV per atom
- Space-group type: C2/m, No. 12
- Formation energy (no corrections): -15.9 kJ per mole of atoms
- Size of the total moment: 0.00 μB/cell
- DFT total energy: -3.895 eV/atom

abc: 6.1296 6.1296 5.8166
angles: 61.93 61.93 33.40
With the nearest neighbours (Å) after each atom.
Positions (direct):
Ir: 0.7500 0.7500 0.7500  4 Cl 2.36
Cl: 0.0963 0.0963 0.9022  2 Ir 2.36
Cl: 0.4037 0.4037 0.5978  2 Ir 2.36
Tl: 0.2500 0.2500 0.2500  4 Cl 3.30-3.31, 4 Ir 3.40, 2 Tl 3.52

DFT (PBE) results for a relaxed structure of TlIrCl2.

- Distance to the lowest polymorph of the same formula: 1.58 eV per formula unit
- DOS(E_F): 0.17 states/eV per atom
- Space-group type: I-42d, No. 122
- Formation energy (no corrections): 17.9 kJ per mole of atoms
- Size of the total moment: 0.00 μB/cell
- DFT total energy: -3.544 eV/atom

abc: 5.7075 5.7075 8.1770
angles: 69.57 69.57 90.00
With the nearest neighbours (Å) after each atom.
Positions (direct):
Cl: 0.8750 0.7476 0.7500  2 Ir 2.38
Cl: 0.4976 0.1250 0.2500  2 Ir 2.38
Cl: 0.2524 0.6250 0.2500  2 Ir 2.38
Cl: 0.3750 0.5024 0.7500  2 Ir 2.38
Ir: 0.5000 0.5000 0.0000  4 Cl 2.38
Ir: 0.2500 0.7500 0.5000  4 Cl 2.38
Tl: 0.0000 0.0000 0.0000  4 Cl 3.14
Tl: 0.7500 0.2500 0.5000  4 Cl 3.14

DFT (PBE) results for a relaxed structure of TlIrCl2.

- Distance to the lowest polymorph of the same formula: 0.00 eV per formula unit
- DOS(E_F): 0.25 states/eV per atom
- Space-group type: P2/m, No. 10
- Formation energy (no corrections): -20.2 kJ per mole of atoms
- Size of the total moment: 0.00 μB/cell
- DFT total energy: -3.940 eV/atom

abc: 3.5607 6.2374 6.2287
angles: 54.46 90.00 90.00
With the nearest neighbours (Å) after each atom.
Positions (direct):
Cl: 0.0000 0.3914 0.3912  2 Ir 2.37
Cl: 0.0000 0.1086 0.1088  2 Ir 2.37
Ir: 0.5000 0.2500 0.2500  4 Cl 2.37
Tl: 0.5000 0.7500 0.7500  2 Ir 2.85

DFT (PBE) results for a relaxed structure of TlIrCl2.

- Distance to the lowest polymorph of the same formula: 1.24 eV per formula unit
- DOS(E_F): 0.67 states/eV per atom
- Space-group type: R-3m, No. 166
- Formation energy (no corrections): 9.8 kJ per mole of atoms
- Size of the total moment: 0.00 μB/cell
- DFT total energy: -3.629 eV/atom

abc: 10.0774 10.0774 10.0774
angles: 18.09 18.09 18.09
With the nearest neighbours (Å) after each atom.
Positions (direct):
Cl: 0.9245 0.9245 0.9245  1 Ir 2.24
Cl: 0.0755 0.0755 0.0755  1 Ir 2.24
Ir: 0.0000 0.0000 0.0000  2 Cl 2.24
Tl: 0.5000 0.5000 0.5000  6 Tl 3.17, 6 Cl 3.27

DFT (PBE) results for a relaxed structure of TlIrCl4.

- Distance to the lowest polymorph of the same formula: 0.00 eV per formula unit
- Space-group type: C2/c, No. 15
- Formation energy (no corrections): -58.2 kJ per mole of atoms
- Size of the total moment: 0.00 μB/cell
- DFT total energy: -3.706 eV/atom

abc: 5.9397 6.4120 8.6194
angles: 106.19 110.13 90.01
With the nearest neighbours (Å) after each atom.
Positions (direct):
Cl: 0.2564 0.5787 0.7932  1 Ir 2.37
Cl: 0.8741 0.8513 0.5927  2 Ir 2.38-2.39
Cl: 0.7186 0.3514 0.5929  2 Ir 2.38-2.39
Cl: 0.5364 0.0785 0.7932  1 Ir 2.37
Cl: 0.2814 0.6486 0.4071  2 Ir 2.38-2.39
Cl: 0.4636 0.9215 0.2068  1 Ir 2.37
Cl: 0.1259 0.1487 0.4073  2 Ir 2.38-2.39
Cl: 0.7436 0.4213 0.2068  1 Ir 2.37
Tl: 0.8040 0.7500 0.9999  4 Cl 3.14-3.21
Tl: 0.1960 0.2500 0.0001  4 Cl 3.14-3.21
Ir: 0.0000 0.5000 0.5000  6 Cl 2.37-2.39
Ir: 0.5000 0.0000 0.5000  6 Cl 2.37-2.39

Question: Which value of size of the total moment does entry 3 give?
Answer: 0.00 μB/cell